Record 1
6
Lattice="3.6470 0.0000 0.0000 0.0000 3.6470 0.0000 0.0000 0.0000 12.6981" Properties=species:S:1:pos:R:3 comment="CaLaMo PBE optimized geometry" dft_energy_ev_per_atom=-5.320 e_above_lowest_polymorph_ev_per_fu=0.07 delta_e_f_ev_per_fu=1.8 crystal_system=tetragonal magmom_total_mub_per_cell=0.00 pbc="T T T"
Ca 0.0000 0.0000 0.0000
Ca 1.8235 1.8235 6.3490
La 0.0000 0.0000 3.3924
La 1.8235 1.8235 9.7414
Mo 0.0000 0.0000 8.3045
Mo 1.8235 1.8235 1.9555

---

Record 2
16
Lattice="7.8717 0.0000 0.0000 0.0000 7.8717 0.0000 0.0000 0.0000 7.8717" Properties=species:S:1:pos:R:3 comment="PmEuLuCd PBE optimized geometry" dft_energy_ev_per_atom=-5.139 delta_e_f_ev_per_fu=-0.1 crystal_system=cubic magmom_total_mub_per_cell=28.62 pbc="T T T"
Pm 0.0000 0.0000 0.0000
Pm 0.0000 3.9359 3.9359
Pm 3.9359 0.0000 3.9359
Pm 3.9359 3.9359 0.0000
Eu 0.0000 0.0000 3.9359
Eu 0.0000 3.9359 0.0000
Eu 3.9359 0.0000 0.0000
Eu 3.9359 3.9359 3.9359
Lu 1.9679 1.9679 1.9679
Lu 1.9679 5.9038 5.9038
Lu 5.9038 1.9679 5.9038
Lu 5.9038 5.9038 1.9679
Cd 1.9679 1.9679 5.9038
Cd 1.9679 5.9038 1.9679
Cd 5.9038 1.9679 1.9679
Cd 5.9038 5.9038 5.9038

---

Record 3
11
Lattice="3.5231 -6.0976 0.0000 3.5231 6.0976 0.0000 -2.3697 0.0000 7.8436" Properties=species:S:1:pos:R:3 comment="Rb2Tb2CeS6 PBE optimized geometry" dft_energy_ev_per_atom=-5.658 raw_formation_energy_mev_per_atom=-1849 crystal_system=monoclinic magmom_total_mub_per_cell=0.00 pbc="T T T"
Rb 3.5231 4.0475 0.0000
Rb 3.5231 -4.0475 0.0000
Tb 2.3383 2.0262 3.9218
Tb 2.3383 -2.0262 3.9218
Ce -1.1849 0.0000 3.9218
S -0.0282 2.0271 5.3828
S 1.1294 0.0000 2.4614
S -0.0282 -2.0271 5.3828
S 4.7047 2.0271 2.4607
S 3.5471 0.0000 5.3822
S 4.7047 -2.0271 2.4607

---

Copy entry 3 word for word.
11
Lattice="3.5231 -6.0976 0.0000 3.5231 6.0976 0.0000 -2.3697 0.0000 7.8436" Properties=species:S:1:pos:R:3 comment="Rb2Tb2CeS6 PBE optimized geometry" dft_energy_ev_per_atom=-5.658 raw_formation_energy_mev_per_atom=-1849 crystal_system=monoclinic magmom_total_mub_per_cell=0.00 pbc="T T T"
Rb 3.5231 4.0475 0.0000
Rb 3.5231 -4.0475 0.0000
Tb 2.3383 2.0262 3.9218
Tb 2.3383 -2.0262 3.9218
Ce -1.1849 0.0000 3.9218
S -0.0282 2.0271 5.3828
S 1.1294 0.0000 2.4614
S -0.0282 -2.0271 5.3828
S 4.7047 2.0271 2.4607
S 3.5471 0.0000 5.3822
S 4.7047 -2.0271 2.4607

---

Please write out number 2 again, unchanged.
16
Lattice="7.8717 0.0000 0.0000 0.0000 7.8717 0.0000 0.0000 0.0000 7.8717" Properties=species:S:1:pos:R:3 comment="PmEuLuCd PBE optimized geometry" dft_energy_ev_per_atom=-5.139 delta_e_f_ev_per_fu=-0.1 crystal_system=cubic magmom_total_mub_per_cell=28.62 pbc="T T T"
Pm 0.0000 0.0000 0.0000
Pm 0.0000 3.9359 3.9359
Pm 3.9359 0.0000 3.9359
Pm 3.9359 3.9359 0.0000
Eu 0.0000 0.0000 3.9359
Eu 0.0000 3.9359 0.0000
Eu 3.9359 0.0000 0.0000
Eu 3.9359 3.9359 3.9359
Lu 1.9679 1.9679 1.9679
Lu 1.9679 5.9038 5.9038
Lu 5.9038 1.9679 5.9038
Lu 5.9038 5.9038 1.9679
Cd 1.9679 1.9679 5.9038
Cd 1.9679 5.9038 1.9679
Cd 5.9038 1.9679 1.9679
Cd 5.9038 5.9038 5.9038